Below is a geometry-optimized NiTeAu4 structure, with properties calculated at the PBE level.

Cell lengths 7.823, 7.823, 7.823 Å; angles 90.00, 90.00, 90.00 degrees
Space group F-43m (No. 216)
One atom of each set of equivalent atoms:
Ni 0.000 0.000 0.000 (multiplicity 4)
Te 0.250 0.250 0.750 (multiplicity 4)
Au 0.125 0.125 0.375 (multiplicity 16)

Summary:
- Calculated volume: 479 Å³ per cell
- ΔE_f (raw): 0.360 eV/atom
- Theoretical density: 13.51 Mg/m³

---

Below is a geometry-optimized Nd2TiCuO6 structure, with properties calculated at the PBE level.

Cell lengths 5.498, 5.893, 9.358 Å; angles 90.00, 125.61, 90.00 degrees
Space group P2_1/c (No. 14)
One atom of each set of equivalent atoms:
Nd 0.234 0.071 0.250 (multiplicity 4)
Ti 0.500 0.000 0.000 (multiplicity 2)
Cu 0.000 0.000 0.500 (multiplicity 2)
O 0.161 0.177 0.952 (multiplicity 4)
O 0.268 0.711 0.949 (multiplicity 4)
O 0.345 0.031 0.749 (multiplicity 4)

Summary:
- Calculated volume: 246 Å³ per cell
- ΔE_f (raw): -2.724 eV/atom
- Theoretical density: 6.68 Mg/m³

---

Below is a geometry-optimized SrLi14Tl structure, with properties calculated at the PBE level.

Cell lengths 8.864, 8.126, 9.483 Å; angles 90.00, 90.00, 90.00 degrees
Space group Amm2 (No. 38)
One atom of each set of equivalent atoms:
Sr 0.000 0.000 0.000 (multiplicity 2)
Li 0.000 0.249 0.748 (multiplicity 4)
Li 0.256 0.000 0.728 (multiplicity 4)
Li 0.258 0.000 0.267 (multiplicity 4)
Li 0.269 0.235 0.497 (multiplicity 8)
Li 0.500 0.000 0.498 (multiplicity 2)
Li 0.500 0.000 0.998 (multiplicity 2)
Li 0.500 0.249 0.748 (multiplicity 4)
Tl 0.000 0.000 0.497 (multiplicity 2)

Summary:
- Calculated volume: 683 Å³ per cell
- Formation energy: -10 meV per atom
- Theoretical density: 1.89 Mg/m³

---

Below is a geometry-optimized K3AgAu structure, with properties calculated at the PBE level.

Cell lengths 6.277, 6.277, 6.277 Å; angles 90.00, 90.00, 90.00 degrees
Space group Pm-3m (No. 221)
One atom of each set of equivalent atoms:
K 0.000 0.000 0.500 (multiplicity 3)
Ag 0.500 0.500 0.500 (multiplicity 1)
Au 0.000 0.000 0.000 (multiplicity 1)

Summary:
- Calculated volume: 247 Å³ per cell
- Energy above the lowest structure with this stoichiometry: 0.76 eV per formula unit
- Formation energy: 30 meV per atom
- Theoretical density: 2.83 Mg/m³

---

Below is a geometry-optimized TiGa4O8 structure, with properties calculated at the PBE level.

Cell lengths 12.446, 3.057, 9.610 Å; angles 90.00, 124.38, 90.00 degrees
Space group C2/m (No. 12)
One atom of each set of equivalent atoms:
Ti 0.000 0.000 0.000 (multiplicity 2)
Ga 0.035 0.500 0.712 (multiplicity 4)
Ga 0.240 0.000 0.637 (multiplicity 4)
O 0.055 0.500 0.919 (multiplicity 4)
O 0.107 0.000 0.690 (multiplicity 4)
O 0.146 0.500 0.460 (multiplicity 4)
O 0.166 0.000 0.219 (multiplicity 4)

Summary:
- Calculated volume: 302 Å³ per cell
- ΔE_f (raw): -2.121 eV/atom
- Theoretical density: 5.01 Mg/m³

---

Below is a geometry-optimized LaTaZnCr2 structure, with properties calculated at the PBE level.

Cell lengths 4.754, 4.754, 4.989 Å; angles 90.00, 90.00, 90.00 degrees
Space group P4/mmm (No. 123)
One atom of each set of equivalent atoms:
La 0.000 0.000 0.000 (multiplicity 1)
Ta 0.500 0.500 0.000 (multiplicity 1)
Zn 0.500 0.500 0.500 (multiplicity 1)
Cr 0.000 0.500 0.500 (multiplicity 2)

Summary:
- Calculated volume: 113 Å³ per cell
- Formation energy: 969 meV per atom
- Theoretical density: 7.20 Mg/m³

---

Below is a geometry-optimized Nd6BiSb3 structure, with properties calculated at the PBE level.

Cell lengths 11.485, 15.277, 7.949 Å; angles 90.00, 90.00, 90.00 degrees
Space group Cmc2_1 (No. 36)
One atom of each set of equivalent atoms:
Nd 0.000 0.001 0.000 (multiplicity 4)
Nd 0.000 0.250 0.372 (multiplicity 4)
Nd 0.174 0.454 0.403 (multiplicity 8)
Nd 0.186 0.274 0.991 (multiplicity 8)
Bi 0.000 0.171 0.743 (multiplicity 4)
Sb 0.000 0.417 0.099 (multiplicity 4)
Sb 0.181 0.103 0.231 (multiplicity 8)

Summary:
- Calculated volume: 1395 Å³ per cell
- ΔE_f (raw): -0.775 eV/atom
- Theoretical density: 6.86 Mg/m³

---

Below is a geometry-optimized Mn2InFeH structure, with properties calculated at the PBE level.

Cell lengths 4.011, 4.011, 3.699 Å; angles 90.00, 90.00, 90.00 degrees
Space group P4/mmm (No. 123)
One atom of each set of equivalent atoms:
Mn 0.000 0.500 0.000 (multiplicity 2)
In 0.000 0.000 0.500 (multiplicity 1)
Fe 0.500 0.500 0.500 (multiplicity 1)
H 0.500 0.500 0.000 (multiplicity 1)

Summary:
- Calculated volume: 60 Å³ per cell
- Theoretical density: 7.86 Mg/m³
- Raw total energy: -6.492 eV/atom

---

Below is a geometry-optimized Sc4SbAu structure, with properties calculated at the PBE level.

Cell lengths 8.162, 8.162, 8.162 Å; angles 90.00, 90.00, 90.00 degrees
Space group F-43m (No. 216)
One atom of each set of equivalent atoms:
Sc 0.125 0.125 0.125 (multiplicity 16)
Sb 0.000 0.000 0.500 (multiplicity 4)
Au 0.250 0.250 0.750 (multiplicity 4)

Summary:
- Calculated volume: 544 Å³ per cell
- ΔE_f (raw): 0.017 eV/atom
- Theoretical density: 6.09 Mg/m³

---

Below is a geometry-optimized Sc2Si2Tc2H structure, with properties calculated at the PBE level.

Cell lengths 3.998, 3.998, 13.253 Å; angles 90.00, 90.00, 90.00 degrees
Space group I4/mmm (No. 139)
One atom of each set of equivalent atoms:
Sc 0.000 0.000 0.161 (multiplicity 4)
Si 0.000 0.000 0.380 (multiplicity 4)
Tc 0.000 0.500 0.000 (multiplicity 4)
H 0.000 0.000 0.000 (multiplicity 2)

Summary:
- Calculated volume: 212 Å³ per cell
- Theoretical density: 5.38 Mg/m³
- Raw total energy: -7.401 eV/atom